a) Here is crystalline La2CrAg at its relaxed geometry from the Alexandria database. Energies are from PBE.

Summary:
DOS(E_F) (states/eV per atom): 0.64
Crystal system: cubic
Magnetic moment (μB per formula unit): 4.7
Theoretical density (g cm⁻³): 7.355

Lattice parameters (Å, degrees): 5.1894 5.1894 5.1894 60.00 60.00 60.00
With the nearest neighbours (Å) after each atom.
Positions (direct):
La 0.0000 0.0000 0.0000  4 Ag 3.18, 4 La 3.18
La 0.2500 0.2500 0.2500  4 Cr 3.18, 4 La 3.18
Cr 0.5000 0.5000 0.5000  4 La 3.18, 4 Ag 3.18
Ag 0.7500 0.7500 0.7500  4 Cr 3.18, 4 La 3.18



b) Here is crystalline La2CrAg at its relaxed geometry from the Alexandria database. Energies are from PBE.

Summary:
DOS(E_F) (states/eV per atom): 1.21
Crystal system: tetragonal
Magnetic moment (μB per formula unit): 3.5
Theoretical density (g cm⁻³): 6.953

Lattice parameters (Å, degrees): 5.9359 5.9359 5.9359 134.56 134.56 66.21
With the nearest neighbours (Å) after each atom.
Positions (direct):
La 0.0000 0.0000 0.0000  4 Cr 3.24, 4 La 3.38, 4 Ag 3.38
La 0.7500 0.2500 0.5000  4 Ag 3.24, 4 Cr 3.38, 4 La 3.38
Cr 0.5000 0.5000 0.0000  8 La 3.24-3.38, 4 Ag 3.38
Ag 0.2500 0.7500 0.5000  8 La 3.24-3.38, 4 Cr 3.38



Which structure is most stable, and how do the rest compare? From most to least stable: a), b).



a) Here is crystalline La2CrAg at its relaxed geometry from the Alexandria database. Energies are from PBE.

Summary:
DOS(E_F) (states/eV per atom): 0.96
Crystal system: trigonal
Magnetic moment (μB per formula unit): 3.3
Theoretical density (g cm⁻³): 6.379

Lattice parameters (Å, degrees): 9.2832 9.2832 9.2832 23.75 23.75 23.75
With the nearest neighbours (Å) after each atom.
Positions (direct):
La 0.2454 0.2454 0.2454  3 Cr 3.07, 3 Ag 3.24
La 0.7546 0.7546 0.7546  3 Cr 3.07, 3 Ag 3.24
Cr 0.5000 0.5000 0.5000  6 La 3.07
Ag 0.0000 0.0000 0.0000  6 La 3.24



b) Here is crystalline La2CrAg at its relaxed geometry from the Alexandria database. Energies are from PBE.

Summary:
DOS(E_F) (states/eV per atom): 0.98
Crystal system: tetragonal
Magnetic moment (μB per formula unit): 3.7
Theoretical density (g cm⁻³): 6.731

Lattice parameters (Å, degrees): 3.7544 3.7544 7.6599 90.00 90.00 90.00
With the nearest neighbours (Å) after each atom.
Positions (direct):
La 0.0000 0.0000 0.0000  1 Ag 3.20, 4 Cr 3.26
La 0.5000 0.5000 0.3343  1 Cr 3.21, 4 Ag 3.26
Cr 0.5000 0.5000 0.7530  4 Ag 2.96, 5 La 3.21-3.26
Ag 0.0000 0.0000 0.5818  4 Cr 2.96, 5 La 3.20-3.26



c) Here is crystalline La2CrAg at its relaxed geometry from the Alexandria database. Energies are from PBE.

Summary:
DOS(E_F) (states/eV per atom): 0.89
Crystal system: orthorhombic
Magnetic moment (μB per formula unit): 3.5
Theoretical density (g cm⁻³): 6.684

Lattice parameters (Å, degrees): 3.7620 5.3758 5.3762 90.00 90.00 90.00
With the nearest neighbours (Å) after each atom.
Positions (direct):
La 0.0000 0.0000 0.0000  4 Cr 3.27-3.29, 4 Ag 3.28
La 0.0000 0.5000 0.4953  4 Ag 3.27-3.29, 4 Cr 3.28
Cr 0.5000 0.0000 0.5018  8 La 3.27-3.29
Ag 0.5000 0.5000 0.9926  8 La 3.27-3.29



Which structure is most stable, and how do the rest compare? From most to least stable: c), b), a).



a) Here is crystalline LaCrAg at its relaxed geometry from the Alexandria database. Energies are from PBE.

Summary:
DOS(E_F) (states/eV per atom): 1.06
Crystal system: cubic
Magnetic moment (μB per formula unit): 4.1
Theoretical density (g cm⁻³): 5.910

Lattice parameters (Å, degrees): 4.9147 4.9147 4.9147 60.00 60.00 60.00
With the nearest neighbours (Å) after each atom.
Positions (direct):
La 0.0000 0.0000 0.0000  4 Ag 3.01
Cr 0.5000 0.5000 0.5000  4 Ag 3.01
Ag 0.2500 0.2500 0.2500  4 Cr 3.01, 4 La 3.01



b) Here is crystalline LaCrAg at its relaxed geometry from the Alexandria database. Energies are from PBE.

Summary:
DOS(E_F) (states/eV per atom): 0.87
Crystal system: cubic
Magnetic moment (μB per formula unit): 3.8
Theoretical density (g cm⁻³): 6.268

Lattice parameters (Å, degrees): 4.8194 4.8194 4.8194 60.00 60.00 60.00
With the nearest neighbours (Å) after each atom.
Positions (direct):
La 0.0000 0.0000 0.0000  4 Cr 2.95
Cr 0.7500 0.7500 0.7500  4 La 2.95, 4 Ag 2.95
Ag 0.5000 0.5000 0.5000  4 Cr 2.95



Which structure is most stable, and how do the rest compare? From most to least stable: a), b).



a) Here is crystalline LaCrAg at its relaxed geometry from the Alexandria database. Energies are from PBE.

Summary:
DOS(E_F) (states/eV per atom): 0.61
Crystal system: trigonal
Magnetic moment (μB per formula unit): 4.0
Theoretical density (g cm⁻³): 6.777

Lattice parameters (Å, degrees): 4.8384 4.8384 3.6108 90.00 90.00 120.00
With the nearest neighbours (Å) after each atom.
Positions (direct):
La 0.0000 0.0000 0.0000  6 Ag 3.32-3.33, 6 Cr 3.32-3.33, 2 La 3.61
Cr 0.3333 0.6667 0.5007  3 Ag 2.79
Ag 0.6667 0.3333 0.4993  3 Cr 2.79



b) Here is crystalline LaCrAg at its relaxed geometry from the Alexandria database. Energies are from PBE.

Summary:
DOS(E_F) (states/eV per atom): 0.95
Crystal system: orthorhombic
Magnetic moment (μB per formula unit): 4.2
Theoretical density (g cm⁻³): 6.879

Lattice parameters (Å, degrees): 5.8330 5.8330 5.8330 143.09 142.48 53.65
With the nearest neighbours (Å) after each atom.
Positions (direct):
La 0.0000 0.0000 0.0000  5 Ag 3.20-3.31, 5 Cr 3.26-3.29
Cr 0.6844 0.6844 0.0000  4 Ag 2.93, 4 La 3.26
Ag 0.3074 0.3074 0.0000  4 Cr 2.93, 1 La 3.20



c) Here is crystalline LaCrAg at its relaxed geometry from the Alexandria database. Energies are from PBE.

Summary:
DOS(E_F) (states/eV per atom): 1.07
Crystal system: cubic
Magnetic moment (μB per formula unit): 4.3
Theoretical density (g cm⁻³): 5.532

Lattice parameters (Å, degrees): 5.0243 5.0243 5.0243 60.00 60.00 60.00
With the nearest neighbours (Å) after each atom.
Positions (direct):
La 0.0000 0.0000 0.0000  4 Cr 3.08, 4 Ag 3.08
Cr 0.2500 0.2500 0.2500  4 La 3.08
Ag 0.7500 0.7500 0.7500  4 La 3.08



d) Here is crystalline LaCrAg at its relaxed geometry from the Alexandria database. Energies are from PBE.

Summary:
DOS(E_F) (states/eV per atom): 0.95
Crystal system: hexagonal
Magnetic moment (μB per formula unit): 3.7
Theoretical density (g cm⁻³): 6.791

Lattice parameters (Å, degrees): 4.4102 4.4102 4.3372 90.00 90.00 120.00
With the nearest neighbours (Å) after each atom.
Positions (direct):
La 0.0000 0.0000 0.0000  6 Cr 3.34, 6 Ag 3.34
Cr 0.3333 0.6667 0.5000  3 Ag 2.55
Ag 0.6667 0.3333 0.5000  3 Cr 2.55



Which structure is most stable, and how do the rest compare? From most to least stable: a), b), d), c).



a) Here is crystalline LiCr2Ag at its relaxed geometry from the Alexandria database. Energies are from PBE.

Summary:
DOS(E_F) (states/eV per atom): 1.27
Crystal system: tetragonal
Magnetic moment (μB per formula unit): 0.0
Theoretical density (g cm⁻³): 7.002

Lattice parameters (Å, degrees): 3.3616 3.3616 4.5919 90.00 90.00 90.00
With the nearest neighbours (Å) after each atom.
Positions (direct):
Li 0.0000 0.0000 0.0000  4 Ag 2.38
Cr 0.0000 0.5000 0.5000  4 Cr 2.38
Cr 0.5000 0.0000 0.5000  4 Cr 2.38
Ag 0.5000 0.5000 0.0000  4 Li 2.38



b) Here is crystalline LiCr2Ag at its relaxed geometry from the Alexandria database. Energies are from PBE.

Summary:
DOS(E_F) (states/eV per atom): 0.48
Crystal system: monoclinic
Magnetic moment (μB per formula unit): 0.2
Theoretical density (g cm⁻³): 5.871

Lattice parameters (Å, degrees): 4.7645 4.7645 4.8197 108.16 108.16 36.79
With the nearest neighbours (Å) after each atom.
Positions (direct):
Li 0.0000 0.0000 0.0000  3 Ag 2.59, 6 Cr 2.80-2.89
Cr 0.4911 0.4911 0.4840  3 Cr 2.45-2.70
Cr 0.7648 0.7648 0.3708  3 Cr 2.45-2.70
Ag 0.2537 0.2537 0.8615  3 Li 2.59, 6 Cr 2.83-2.89



c) Here is crystalline LiCr2Ag at its relaxed geometry from the Alexandria database. Energies are from PBE.

Summary:
DOS(E_F) (states/eV per atom): 1.17
Crystal system: tetragonal
Magnetic moment (μB per formula unit): 0.0
Theoretical density (g cm⁻³): 6.533

Lattice parameters (Å, degrees): 2.5183 2.5183 8.7700 90.00 90.00 90.00
With the nearest neighbours (Å) after each atom.
Positions (direct):
Li 0.0000 0.0000 0.0000  4 Li 2.52
Cr 0.0000 0.0000 0.5114  8 Cr 2.52-2.69
Cr 0.5000 0.5000 0.7409  8 Cr 2.52-2.69
Ag 0.5000 0.5000 0.2540  4 Ag 2.52



Which structure is most stable, and how do the rest compare? From most to least stable: b), a), c).